LiPm4Pr3Se8 | PBE-GGA | optimized geometry

Lattice parameters (Å, degrees): 8.4135 8.4135 8.4135 60.01 60.01 60.01
Last column: nearest neighbours and their distance in Å.
Atoms (fractional coordinates):
1 Li 0.0000 0.0000 0.0000  6 Se 2.90
2 Pm 0.0000 0.0000 0.5000  6 Se 2.95
3 Pm 0.0000 0.5000 0.0000  6 Se 2.95
4 Pm 0.5000 0.0000 0.0000  6 Se 2.95
5 Pm 0.5000 0.5000 0.5000  6 Se 3.05
6 Pr 0.0000 0.5000 0.5000  6 Se 3.00
7 Pr 0.5000 0.0000 0.5000  6 Se 3.00
8 Pr 0.5000 0.5000 0.0000  6 Se 3.00
9 Se 0.2402 0.7560 0.7560  1 Li 2.90, 3 Pm 2.95-3.05, 2 Pr 3.00
10 Se 0.2440 0.2440 0.7598  1 Li 2.90, 3 Pm 2.95-3.05, 2 Pr 3.00
11 Se 0.2440 0.7598 0.2440  1 Li 2.90, 3 Pm 2.95-3.05, 2 Pr 3.00
12 Se 0.2480 0.2480 0.2480  3 Pm 2.95, 3 Pr 3.00
13 Se 0.7520 0.7520 0.7520  3 Pm 2.95, 3 Pr 3.00
14 Se 0.7560 0.2402 0.7560  1 Li 2.90, 3 Pm 2.95-3.05, 2 Pr 3.00
15 Se 0.7560 0.7560 0.2402  1 Li 2.90, 3 Pm 2.95-3.05, 2 Pr 3.00
16 Se 0.7598 0.2440 0.2440  1 Li 2.90, 3 Pm 2.95-3.05, 2 Pr 3.00

Electronic total energy (eV per atom): -5.74
Formation energy without anion corrections (eV/atom): -1.80